No. 1
## Y2ErTmS4 (GGA-PBE)

Data for crystalline Y2ErTmS4 at its relaxed geometry.

Cell and atoms, written as POSCAR:
```
Y2ErTmS4
1.0
-0.658 0.991 3.664
-4.747 -4.753 0.433
5.963 -2.660 1.790
S Er Y Tm
4 1 2 1
direct
0.000 0.253 0.757 S
0.000 0.747 0.243 S
0.500 0.751 0.756 S
0.500 0.249 0.244 S
0.000 0.000 0.000 Er
0.000 0.500 0.500 Y
0.500 0.000 0.500 Y
0.500 0.500 0.000 Tm
```

Calculated values
Raw formation energy ... -1.968 eV/atom
Crystal system ... monoclinic

No. 2
## YEr4TmS8 (GGA-PBE)

Data for crystalline YEr4TmS8 at its relaxed geometry.

Cell and atoms, written as POSCAR:
```
YEr4TmS8
1.0
7.982 0.000 0.000
3.991 6.913 0.000
3.991 2.304 6.511
Er S Tm Y
4 8 1 1
direct
0.625 0.625 0.126 Er
0.000 0.500 0.500 Er
0.000 0.000 0.500 Er
0.500 0.000 0.500 Er
0.758 0.758 0.256 S
0.757 0.757 0.728 S
0.240 0.776 0.743 S
0.227 0.758 0.256 S
0.776 0.240 0.743 S
0.241 0.241 0.276 S
0.758 0.227 0.256 S
0.240 0.240 0.743 S
0.000 0.000 0.000 Tm
0.375 0.375 0.875 Y
```

Calculated values
Raw formation energy ... -1.926 eV/atom
Crystal system ... trigonal

No. 3
## YEr2TmS6 (GGA-PBE)

Data for crystalline YEr2TmS6 at its relaxed geometry.

Cell and atoms, written as POSCAR:
```
YEr2TmS6
1.0
-3.783 -5.199 -2.368
-1.084 -5.514 3.921
-6.670 -0.945 2.815
S Tm Er Y
6 1 2 1
direct
0.118 0.412 0.752 S
0.718 0.118 0.752 S
0.412 0.718 0.752 S
0.220 0.918 0.250 S
0.918 0.612 0.250 S
0.612 0.220 0.250 S
0.317 0.317 0.050 Tm
0.015 0.015 0.954 Er
0.516 0.516 0.451 Er
0.815 0.815 0.554 Y
```

Calculated values
Raw formation energy ... -2.064 eV/atom
Crystal system ... trigonal

No. 4
## Y3Er2TmS6 (GGA-PBE)

Data for crystalline Y3Er2TmS6 at its relaxed geometry.

Cell and atoms, written as POSCAR:
```
Y3Er2TmS6
1.0
-3.238 -1.948 0.873
2.417 -0.707 7.390
-2.744 8.233 -0.417
S Y Tm Er
6 3 1 2
direct
0.999 0.755 0.998 S
0.668 0.580 0.335 S
0.001 0.245 0.002 S
0.335 0.914 0.670 S
0.665 0.086 0.330 S
0.332 0.420 0.665 S
0.500 0.500 0.000 Y
0.167 0.833 0.334 Y
0.833 0.167 0.666 Y
0.500 0.000 0.000 Tm
0.167 0.334 0.334 Er
0.833 0.666 0.666 Er
```

Calculated values
Raw formation energy ... -1.972 eV/atom
Crystal system ... monoclinic